! GGA-PBE NbF5, optimized geometry; values from VASP
&SYSTEM
  ibrav = 0, nat = 12, ntyp = 2
/
ATOMIC_SPECIES
F 19.00 F.upf
Nb 92.91 Nb.upf
CELL_PARAMETERS angstrom
-1.587 5.325 0.101
-0.536 -0.275 6.088
4.328 1.282 0.439
ATOMIC_POSITIONS crystal
F 0.295 0.500 0.134
F 0.000 0.808 0.364
F 0.000 0.500 0.738
F 0.795 0.000 0.866
F 0.500 0.692 0.636
F 0.000 0.192 0.364
F 0.705 0.500 0.134
F 0.500 0.308 0.636
F 0.500 0.000 0.262
F 0.205 0.000 0.866
Nb 0.500 0.000 0.681
Nb 0.000 0.500 0.319
! - E: -0.2236 hartree per atom